[1]
# BaHg4Sb

A relaxed structure of BaHg4Sb (PBE, Alexandria via LeMat-Bulk).

The structure in CIF format:
```
data_BaHg4Sb
_symmetry_space_group_name_H-M 'F -4 3 m'
_symmetry_Int_Tables_number 216
_symmetry_space_group_name_Hall 'F -4 2 3'
_cell_length_a 8.962
_cell_length_b 8.962
_cell_length_c 8.962
_cell_angle_alpha 90.00
_cell_angle_beta 90.00
_cell_angle_gamma 90.00
loop_
_atom_site_label
_atom_site_type_symbol
_atom_site_fract_x
_atom_site_fract_y
_atom_site_fract_z
_atom_site_occupancy
Ba1 Ba 0.000 0.000 0.000 1
Hg1 Hg 0.124 0.124 0.624 1
Sb1 Sb 0.250 0.250 0.250 1
```

Values from the calculation:
Its crystal system is cubic. The calculation puts the energy above the most stable polymorph in this dataset at 9.83 kJ/mol of atoms.

=====

[2]
# BaHgSb3

A relaxed structure of BaHgSb3 (PBE, Alexandria via LeMat-Bulk).

The structure in CIF format:
```
data_BaHgSb3
_symmetry_space_group_name_H-M 'P m -3 m'
_symmetry_Int_Tables_number 221
_symmetry_space_group_name_Hall '-P 4 2 3'
_cell_length_a 6.383
_cell_length_b 6.383
_cell_length_c 6.383
_cell_angle_alpha 90.00
_cell_angle_beta 90.00
_cell_angle_gamma 90.00
loop_
_atom_site_label
_atom_site_type_symbol
_atom_site_fract_x
_atom_site_fract_y
_atom_site_fract_z
_atom_site_occupancy
Ba1 Ba 0.000 0.000 0.000 1
Hg1 Hg 0.500 0.500 0.500 1
Sb1 Sb 0.000 0.000 0.500 1
```

Values from the calculation:
Its crystal system is cubic. The calculation puts the energy above the most stable polymorph in this dataset at 112.26 kJ/mol of atoms.

=====

[3]
# BaHg4Sb2

A relaxed structure of BaHg4Sb2 (PBE, Alexandria via LeMat-Bulk).

The structure in CIF format:
```
data_BaHg4Sb2
_symmetry_space_group_name_H-M 'P 1 2/m 1'
_symmetry_Int_Tables_number 10
_cell_length_a 5.060
_cell_length_b 4.700
_cell_length_c 9.507
_cell_angle_alpha 90.00
_cell_angle_beta 92.40
_cell_angle_gamma 90.00
loop_
_symmetry_equiv_pos_as_xyz
'x,y,z'
'-x,-y,-z'
'-x,y,-z'
'x,-y,z'
loop_
_atom_site_label
_atom_site_type_symbol
_atom_site_fract_x
_atom_site_fract_y
_atom_site_fract_z
_atom_site_occupancy
Ba1 Ba 0.000 0.000 0.000 1
Hg1 Hg 0.055 0.500 0.648 1
Hg2 Hg 0.353 0.000 0.367 1
Sb1 Sb 0.492 0.500 0.152 1
```

Values from the calculation:
Its crystal system is monoclinic. The calculation puts the energy above the most stable polymorph in this dataset at 0.00 kJ/mol of atoms.

=====

[4]
# Ba2HgSb4

A relaxed structure of Ba2HgSb4 (PBE, Alexandria via LeMat-Bulk).

The structure in CIF format:
```
data_Ba2HgSb4
_symmetry_space_group_name_H-M 'C 1 m 1'
_symmetry_Int_Tables_number 8
_cell_length_a 9.651
_cell_length_b 9.258
_cell_length_c 7.381
_cell_angle_alpha 90.00
_cell_angle_beta 129.26
_cell_angle_gamma 90.00
loop_
_symmetry_equiv_pos_as_xyz
'x,y,z'
'x,-y,z'
'x+1/2,y+1/2,z'
'x+1/2,-y+1/2,z'
loop_
_atom_site_label
_atom_site_type_symbol
_atom_site_fract_x
_atom_site_fract_y
_atom_site_fract_z
_atom_site_occupancy
Ba1 Ba 0.000 0.244 0.000 1
Hg1 Hg 0.287 0.500 0.101 1
Sb1 Sb 0.020 0.253 0.513 1
Sb2 Sb 0.209 0.500 0.498 1
Sb3 Sb 0.223 0.000 0.516 1
```

Values from the calculation:
Its crystal system is monoclinic.

=====

[5]
# BaHg4Sb

A relaxed structure of BaHg4Sb (PBE, Alexandria via LeMat-Bulk).

The structure in CIF format:
```
data_BaHg4Sb
_symmetry_space_group_name_H-M 'P 1 21/m 1'
_symmetry_Int_Tables_number 11
_cell_length_a 5.008
_cell_length_b 7.934
_cell_length_c 9.591
_cell_angle_alpha 90.00
_cell_angle_beta 105.12
_cell_angle_gamma 90.00
loop_
_symmetry_equiv_pos_as_xyz
'x,y,z'
'-x,-y,-z'
'-x,y+1/2,-z'
'x,-y+1/2,z'
loop_
_atom_site_label
_atom_site_type_symbol
_atom_site_fract_x
_atom_site_fract_y
_atom_site_fract_z
_atom_site_occupancy
Ba1 Ba 0.141 0.250 0.283 1
Hg1 Hg 0.045 0.750 0.087 1
Hg2 Hg 0.336 0.042 0.672 1
Hg3 Hg 0.500 0.000 0.000 1
Sb1 Sb 0.209 0.750 0.420 1
```

Values from the calculation:
Its crystal system is monoclinic. The calculation puts the energy above the most stable polymorph in this dataset at 0.00 kJ/mol of atoms.

=====

[6]
# Ba2Hg12Sb

A relaxed structure of Ba2Hg12Sb (PBE, Alexandria via LeMat-Bulk).

The structure in CIF format:
```
data_Ba2Hg12Sb
_symmetry_space_group_name_H-M 'P 4/n b m'
_symmetry_Int_Tables_number 125
_cell_length_a 7.287
_cell_length_b 7.287
_cell_length_c 17.431
_cell_angle_alpha 90.00
_cell_angle_beta 90.00
_cell_angle_gamma 90.00
loop_
_symmetry_equiv_pos_as_xyz
'x,y,z'
'-x,-y,-z'
'-y+1/2,x,z'
'y+1/2,-x,-z'
'-x+1/2,-y+1/2,z'
'x+1/2,y+1/2,-z'
'y,-x+1/2,z'
'-y,x+1/2,-z'
'x,-y+1/2,-z'
'-x,y+1/2,z'
'-y+1/2,-x+1/2,-z'
'y+1/2,x+1/2,z'
'-x+1/2,y,-z'
'x+1/2,-y,z'
'y,x,-z'
'-y,-x,z'
loop_
_atom_site_label
_atom_site_type_symbol
_atom_site_fract_x
_atom_site_fract_y
_atom_site_fract_z
_atom_site_occupancy
Ba1 Ba 0.250 0.750 0.243 1
Hg1 Hg 0.000 0.000 0.099 1
Hg2 Hg 0.094 0.594 0.432 1
Hg3 Hg 0.250 0.250 0.192 1
Hg4 Hg 0.250 0.250 0.361 1
Sb1 Sb 0.250 0.750 0.000 1
```

Values from the calculation:
Its crystal system is tetragonal.

=====

[7]
# Ba3Hg4Sb4

A relaxed structure of Ba3Hg4Sb4 (PBE, Alexandria via LeMat-Bulk).

The structure in CIF format:
```
data_Ba3Hg4Sb4
_symmetry_space_group_name_H-M 'I m m m'
_symmetry_Int_Tables_number 71
_symmetry_space_group_name_Hall '-I 2 2'
_cell_length_a 5.040
_cell_length_b 8.082
_cell_length_c 19.394
_cell_angle_alpha 90.00
_cell_angle_beta 90.00
_cell_angle_gamma 90.00
loop_
_atom_site_label
_atom_site_type_symbol
_atom_site_fract_x
_atom_site_fract_y
_atom_site_fract_z
_atom_site_occupancy
Ba1 Ba 0.000 0.000 0.000 1
Ba2 Ba 0.000 0.500 0.164 1
Hg1 Hg 0.000 0.000 0.216 1
Hg2 Hg 0.000 0.171 0.500 1
Sb1 Sb 0.000 0.319 0.368 1
```

Values from the calculation:
Its crystal system is orthorhombic. The calculation puts the energy above the most stable polymorph in this dataset at 4.60 kJ/mol of atoms.

=====

[8]
# Ba4Hg3Sb

A relaxed structure of Ba4Hg3Sb (PBE, Alexandria via LeMat-Bulk).

The structure in CIF format:
```
data_Ba4Hg3Sb
_symmetry_space_group_name_H-M 'P 4/m m m'
_symmetry_Int_Tables_number 123
_symmetry_space_group_name_Hall '-P 4 2'
_cell_length_a 4.302
_cell_length_b 4.302
_cell_length_c 16.420
_cell_angle_alpha 90.00
_cell_angle_beta 90.00
_cell_angle_gamma 90.00
loop_
_atom_site_label
_atom_site_type_symbol
_atom_site_fract_x
_atom_site_fract_y
_atom_site_fract_z
_atom_site_occupancy
Ba1 Ba 0.000 0.000 0.114 1
Ba2 Ba 0.000 0.000 0.372 1
Hg1 Hg 0.500 0.500 0.252 1
Hg2 Hg 0.500 0.500 0.500 1
Sb1 Sb 0.500 0.500 0.000 1
```

Values from the calculation:
Its crystal system is tetragonal.

=====

[9]
# Ba3Hg2Sb

A relaxed structure of Ba3Hg2Sb (PBE, Alexandria via LeMat-Bulk).

The structure in CIF format:
```
data_Ba3Hg2Sb
_symmetry_space_group_name_H-M 'C 1 2/m 1'
_symmetry_Int_Tables_number 12
_cell_length_a 10.329
_cell_length_b 18.000
_cell_length_c 5.983
_cell_angle_alpha 90.00
_cell_angle_beta 125.32
_cell_angle_gamma 90.00
loop_
_symmetry_equiv_pos_as_xyz
'x,y,z'
'-x,-y,-z'
'-x,y,-z'
'x,-y,z'
'x+1/2,y+1/2,z'
'-x+1/2,-y+1/2,-z'
'-x+1/2,y+1/2,-z'
'x+1/2,-y+1/2,z'
loop_
_atom_site_label
_atom_site_type_symbol
_atom_site_fract_x
_atom_site_fract_y
_atom_site_fract_z
_atom_site_occupancy
Ba1 Ba 0.248 0.000 0.248 1
Ba2 Ba 0.250 0.168 0.750 1
Hg1 Hg 0.000 0.000 0.500 1
Hg2 Hg 0.000 0.343 0.500 1
Hg3 Hg 0.000 0.500 0.000 1
Sb1 Sb 0.000 0.166 0.000 1
```

Values from the calculation:
Its crystal system is monoclinic.

=====

[10]
# BaHg2Sb

A relaxed structure of BaHg2Sb (PBE, Alexandria via LeMat-Bulk).

The structure in CIF format:
```
data_BaHg2Sb
_symmetry_space_group_name_H-M 'I m m m'
_symmetry_Int_Tables_number 71
_symmetry_space_group_name_Hall '-I 2 2'
_cell_length_a 5.108
_cell_length_b 5.168
_cell_length_c 9.516
_cell_angle_alpha 90.00
_cell_angle_beta 90.00
_cell_angle_gamma 90.00
loop_
_atom_site_label
_atom_site_type_symbol
_atom_site_fract_x
_atom_site_fract_y
_atom_site_fract_z
_atom_site_occupancy
Ba1 Ba 0.000 0.000 0.000 1
Hg1 Hg 0.000 0.500 0.248 1
Sb1 Sb 0.000 0.000 0.500 1
```

Values from the calculation:
Its crystal system is orthorhombic.

=====

| no. | magnetic moment (Bohr magnetons per cell) | density of states at the Fermi level (states/eV per atom) | formation energy without anion corrections (meV/atom) |
| --- | --- | --- | --- |
| 1 | 0.0 | 0.8749 | -227 |
| 2 | 0.0 | 1.0228 | 834 |
| 3 | 0.0 | 0.4506 | -240 |
| 4 | 0.0 | 0.2836 | -547 |
| 5 | 0.0 | 0.3156 | -329 |
| 6 | 0.0 | 0.4803 | -224 |
| 7 | 0.0 | 0.1295 | -507 |
| 8 | 0.0 | 0.8764 | -632 |
| 9 | 0.0 | 0.5173 | -710 |
| 10 | 0.0 | 0.3386 | -483 |